# 1
! Cs2SeCl2 PBE relaxed; values from VASP
! * total energy: -2.8651 eV per atom
! * formation energy from raw total energies: -1.0882 eV/atom
! * space group: P4/mbm
! * total magnetization: 0.000 μB per formula unit
&SYSTEM
  ibrav = 0, nat = 10, ntyp = 3
/
ATOMIC_SPECIES
Cs 132.91 Cs.upf
Se 78.96 Se.upf
Cl 35.45 Cl.upf
ATOMIC_POSITIONS crystal
Cs 0.1575 0.6575 0.5000
Cs 0.6575 0.8425 0.5000
Cs 0.8425 0.3425 0.5000
Cs 0.3425 0.1575 0.5000
Se 0.0000 0.0000 0.0000
Se 0.5000 0.5000 0.0000
Cl 0.3364 0.8364 0.0000
Cl 0.8364 0.6636 0.0000
Cl 0.6636 0.1636 0.0000
Cl 0.1636 0.3364 0.0000
CELL_PARAMETERS angstrom
8.5481 0.0000 0.0000
0.0000 8.5481 0.0000
0.0000 0.0000 4.9575


# 2
! CsSe2Cl PBE relaxed; values from VASP
! * total energy: -2.7451 eV per atom
! * formation energy from raw total energies: -0.3278 eV/atom
! * space group: R-3m
! * energy relative to the lowest polymorph listed for this composition: 0.328 eV per atom
! * total magnetization: 0.000 μB per formula unit
&SYSTEM
  ibrav = 0, nat = 4, ntyp = 3
/
ATOMIC_SPECIES
Cs 132.91 Cs.upf
Se 78.96 Se.upf
Cl 35.45 Cl.upf
ATOMIC_POSITIONS crystal
Cs 0.0000 0.0000 0.0000
Se 0.8206 0.8206 0.8206
Se 0.1794 0.1794 0.1794
Cl 0.5000 0.5000 0.5000
CELL_PARAMETERS angstrom
2.9079 0.0000 6.3457
-1.4539 2.5183 6.3457
-1.4539 -2.5183 6.3457


# 3
! Cs3SeCl6 PBE relaxed; values from VASP
! * total energy: -2.9376 eV per atom
! * formation energy from raw total energies: -1.2251 eV/atom
! * space group: R-3
! * energy relative to the lowest polymorph listed for this composition: 0.023 eV per atom
! * total magnetization: 0.000 μB per formula unit
&SYSTEM
  ibrav = 0, nat = 20, ntyp = 3
/
ATOMIC_SPECIES
Cs 132.91 Cs.upf
Se 78.96 Se.upf
Cl 35.45 Cl.upf
ATOMIC_POSITIONS crystal
Cs 0.3988 0.8863 0.7084
Cs 0.8863 0.7084 0.3988
Cs 0.2916 0.6012 0.1137
Cs 0.7084 0.3988 0.8863
Cs 0.1137 0.2916 0.6012
Cs 0.6012 0.1137 0.2916
Se 0.0000 0.0000 0.0000
Se 0.5000 0.5000 0.5000
Cl 0.2570 0.9808 0.0539
Cl 0.0192 0.9461 0.7430
Cl 0.5408 0.7753 0.4046
Cl 0.9461 0.7430 0.0192
Cl 0.4046 0.5408 0.7753
Cl 0.2247 0.5954 0.4592
Cl 0.7753 0.4046 0.5408
Cl 0.5954 0.4592 0.2247
Cl 0.0539 0.2570 0.9808
Cl 0.4592 0.2247 0.5954
Cl 0.9808 0.0539 0.2570
Cl 0.7430 0.0192 0.9461
CELL_PARAMETERS angstrom
9.3895 -0.4143 -0.4236
-0.6180 9.3783 -0.4236
-0.6180 -0.6315 9.3666


# 4
! CsSe2Cl PBE relaxed; values from VASP
! * total energy: -2.2229 eV per atom
! * formation energy from raw total energies: 0.1944 eV/atom
! * space group: Fm-3m
! * energy relative to the lowest polymorph listed for this composition: 0.851 eV per atom
! * total magnetization: 4.002 μB per formula unit
&SYSTEM
  ibrav = 0, nat = 4, ntyp = 3
/
ATOMIC_SPECIES
Cs 132.91 Cs.upf
Se 78.96 Se.upf
Cl 35.45 Cl.upf
ATOMIC_POSITIONS crystal
Cs 0.5000 0.5000 0.5000
Se 0.2500 0.2500 0.2500
Se 0.7500 0.7500 0.7500
Cl 0.0000 0.0000 0.0000
CELL_PARAMETERS angstrom
5.8205 0.0000 0.0000
2.9102 5.0407 0.0000
2.9102 1.6802 4.7524


# 5
! CsSeCl2 PBE relaxed; values from VASP
! * total energy: -2.4965 eV per atom
! * formation energy from raw total energies: -0.4887 eV/atom
! * space group: Fm-3m
! * energy relative to the lowest polymorph listed for this composition: 0.355 eV per atom
! * total magnetization: 3.000 μB per formula unit
&SYSTEM
  ibrav = 0, nat = 4, ntyp = 3
/
ATOMIC_SPECIES
Cs 132.91 Cs.upf
Se 78.96 Se.upf
Cl 35.45 Cl.upf
ATOMIC_POSITIONS crystal
Cs 0.5000 0.5000 0.5000
Se 0.0000 0.0000 0.0000
Cl 0.2500 0.2500 0.2500
Cl 0.7500 0.7500 0.7500
CELL_PARAMETERS angstrom
-0.8754 1.6336 5.3533
-5.1950 1.4989 1.6906
-2.8992 -3.3379 3.5419


# 6
! Cs2SeCl7 PBE relaxed; values from VASP
! * total energy: -2.7652 eV per atom
! * formation energy from raw total energies: -0.9534 eV/atom
! * space group: I4/mmm
! * total magnetization: 0.000 μB per formula unit
&SYSTEM
  ibrav = 0, nat = 10, ntyp = 3
/
ATOMIC_SPECIES
Cs 132.91 Cs.upf
Se 78.96 Se.upf
Cl 35.45 Cl.upf
ATOMIC_POSITIONS crystal
Cs 0.7500 0.2500 0.5000
Cs 0.2500 0.7500 0.5000
Se 0.0000 0.0000 0.0000
Cl 0.5000 0.5000 0.0000
Cl 0.2119 0.2119 0.5762
Cl 0.7881 0.7881 0.4238
Cl 0.2285 0.2285 0.0000
Cl 0.7715 0.7715 0.0000
Cl 0.7715 0.2285 0.0000
Cl 0.2285 0.7715 0.0000
CELL_PARAMETERS angstrom
-1.7082 -4.6061 5.7036
7.3243 -0.8164 1.5342
2.5650 1.7652 7.1612


# 7
! CsSeCl3 PBE relaxed; values from VASP
! * total energy: -2.8656 eV per atom
! * formation energy from raw total energies: -0.8900 eV/atom
! * space group: R3m
! * total magnetization: 0.000 μB per formula unit
&SYSTEM
  ibrav = 0, nat = 5, ntyp = 3
/
ATOMIC_SPECIES
Cs 132.91 Cs.upf
Se 78.96 Se.upf
Cl 35.45 Cl.upf
ATOMIC_POSITIONS crystal
Cs 0.9254 0.9254 0.9254
Se 0.5423 0.5423 0.5423
Cl 0.3726 0.3726 0.8990
Cl 0.3726 0.8990 0.3726
Cl 0.8990 0.3726 0.3726
CELL_PARAMETERS angstrom
5.6715 -0.4372 -0.3681
0.7368 5.6404 -0.3681
0.7368 0.5982 5.6206


# 8
! Cs6SeCl PBE relaxed; values from VASP
! * total energy: -2.1470 eV per atom
! * formation energy from raw total energies: -0.8404 eV/atom
! * space group: P-1
! * total magnetization: 0.000 μB per formula unit
&SYSTEM
  ibrav = 0, nat = 8, ntyp = 3
/
ATOMIC_SPECIES
Cs 132.91 Cs.upf
Se 78.96 Se.upf
Cl 35.45 Cl.upf
ATOMIC_POSITIONS crystal
Cs 0.1245 0.3672 0.7537
Cs 0.7539 0.1242 0.7546
Cs 0.6333 0.2461 0.2456
Cs 0.2461 0.8758 0.2454
Cs 0.8755 0.6328 0.2463
Cs 0.3667 0.7539 0.7544
Se 0.0000 0.0000 0.0000
Cl 0.5000 0.5000 0.5000
CELL_PARAMETERS angstrom
-4.3070 4.1209 -7.0824
-8.6844 -2.3654 -2.1436
-7.2202 6.4678 2.0947


# 9
! CsSe2Cl2 PBE relaxed; values from VASP
! * total energy: -3.0604 eV per atom
! * formation energy from raw total energies: -0.7573 eV/atom
! * space group: C2/c
! * energy relative to the lowest polymorph listed for this composition: 0.000 eV per atom
! * total magnetization: 0.000 μB per formula unit
&SYSTEM
  ibrav = 0, nat = 10, ntyp = 3
/
ATOMIC_SPECIES
Cs 132.91 Cs.upf
Se 78.96 Se.upf
Cl 35.45 Cl.upf
ATOMIC_POSITIONS crystal
Cs 0.7489 0.0000 0.2500
Cs 0.2511 0.0000 0.7500
Se 0.6626 0.8247 0.5162
Se 0.8380 0.1753 0.9838
Se 0.3374 0.1753 0.4838
Se 0.1620 0.8247 0.0162
Cl 0.2796 0.0617 0.1505
Cl 0.2179 0.9383 0.3495
Cl 0.7204 0.9383 0.8495
Cl 0.7821 0.0617 0.6505
CELL_PARAMETERS angstrom
-5.7947 1.1630 -1.9932
1.7473 -1.4842 3.8134
0.5475 16.2864 7.9114


# 10
! Cs3SeCl6 PBE relaxed; values from VASP
! * total energy: -2.9611 eV per atom
! * formation energy from raw total energies: -1.2486 eV/atom
! * space group: I4/mmm
! * energy relative to the lowest polymorph listed for this composition: 0.000 eV per atom
! * total magnetization: 1.000 μB per formula unit
&SYSTEM
  ibrav = 0, nat = 10, ntyp = 3
/
ATOMIC_SPECIES
Cs 132.91 Cs.upf
Se 78.96 Se.upf
Cl 35.45 Cl.upf
ATOMIC_POSITIONS crystal
Cs 0.7500 0.2500 0.5000
Cs 0.2500 0.7500 0.5000
Cs 0.0000 0.0000 0.0000
Se 0.5000 0.5000 0.0000
Cl 0.2591 0.2591 0.4818
Cl 0.7409 0.7409 0.5182
Cl 0.2868 0.2868 0.0000
Cl 0.7132 0.7132 0.0000
Cl 0.7132 0.2868 0.0000
Cl 0.2868 0.7132 0.0000
CELL_PARAMETERS angstrom
7.9908 0.0000 0.0000
0.0000 7.9908 0.0000
3.9954 3.9954 6.3197


# 11
! CsSeCl2 PBE relaxed; values from VASP
! * total energy: -2.8519 eV per atom
! * formation energy from raw total energies: -0.8441 eV/atom
! * space group: R-3m
! * energy relative to the lowest polymorph listed for this composition: 0.000 eV per atom
! * total magnetization: 1.000 μB per formula unit
&SYSTEM
  ibrav = 0, nat = 4, ntyp = 3
/
ATOMIC_SPECIES
Cs 132.91 Cs.upf
Se 78.96 Se.upf
Cl 35.45 Cl.upf
ATOMIC_POSITIONS crystal
Cs 0.5000 0.5000 0.5000
Se 0.0000 0.0000 0.0000
Cl 0.8924 0.8924 0.8924
Cl 0.1076 0.1076 0.1076
CELL_PARAMETERS angstrom
-2.0489 -3.5031 7.1091
-0.0510 -7.4102 3.4778
3.5584 -3.9598 6.2183


# 12
! Cs5SeCl4 PBE relaxed; values from VASP
! * total energy: -3.1747 eV per atom
! * formation energy from raw total energies: -1.6609 eV/atom
! * space group: I4
! * total magnetization: 1.001 μB per formula unit
&SYSTEM
  ibrav = 0, nat = 10, ntyp = 3
/
ATOMIC_SPECIES
Cs 132.91 Cs.upf
Se 78.96 Se.upf
Cl 35.45 Cl.upf
ATOMIC_POSITIONS crystal
Cs 0.8954 0.4148 0.7962
Cs 0.3102 0.7962 0.5852
Cs 0.6915 0.2038 0.4148
Cs 0.1063 0.5852 0.2038
Cs 0.5017 0.0000 0.0000
Se 0.0017 0.0000 0.0000
Cl 0.3982 0.4032 0.8022
Cl 0.8014 0.8022 0.5968
Cl 0.2004 0.1978 0.4032
Cl 0.6036 0.5968 0.1978
CELL_PARAMETERS angstrom
-6.2253 3.3113 -0.7600
-6.6196 -3.8695 4.2727
-1.5324 6.1155 6.1074


Question: Look up the total magnetization of the eighth one.
Answer: 0.000 μB per formula unit